## Dy2Tm3Sc5 (GGA-PBE)

Data for Dy2Tm3Sc5 after structural relaxation.

Results
size of the total moment = 0.00 μB per formula unit
SG = C2/c (15)
energy of formation = 0.218 eV per atom
energy = -52.10 eV/f.u.
crystal system = monoclinic

Structure (POSCAR):
```
Dy2Tm3Sc5
1.0
1.2096 -7.7545 -4.9413
1.7207 -7.5580 4.8375
-8.7471 6.2600 0.4606
Sc Tm Dy
10 6 4
Direct
0.9736 0.2236 0.4472 Sc
0.5175 0.2675 0.5349 Sc
0.7328 0.4828 0.9655 Sc
0.6584 0.9014 0.2610 Sc
0.2672 0.5172 0.0345 Sc
0.3416 0.0986 0.7390 Sc
0.8974 0.6404 0.7390 Sc
0.1026 0.3596 0.2610 Sc
0.4825 0.7325 0.4651 Sc
0.0264 0.7764 0.5528 Sc
0.2825 0.4996 0.7373 Tm
0.9547 0.2377 0.7373 Tm
0.7175 0.5004 0.2627 Tm
0.2268 0.9768 0.9537 Tm
0.0453 0.7623 0.2627 Tm
0.7732 0.0232 0.0463 Tm
0.7608 0.0354 0.7482 Dy
0.5126 0.2872 0.2518 Dy
0.4874 0.7128 0.7482 Dy
0.2392 0.9646 0.2518 Dy
```